Density functional theory data (GGA+U) for crystalline SmMn3B4O12 at its relaxed geometry.

Lattice parameters (Å, degrees): 9.7004 9.7004 7.8066 90.00 90.00 120.00
With the nearest neighbours (Å) after each atom.
Space group R32 (No. 155, hexagonal axes)
One atom of each set of equivalent atoms:
Sm  0.0000  0.0000  0.0000  6 O 2.39
Mn  0.0000  0.5470  0.0000  6 O 2.03-2.08
B  0.0000  0.0000  0.5000  3 O 1.39
B  0.0000  0.4506  0.5000  3 O 1.38-1.40
O  0.0000  0.5945  0.5000  1 B 1.40
O  0.0000  0.8571  0.5000  1 B 1.39
O  0.0194  0.2073  0.1826  1 B 1.38

Properties
As for the raw total energy: -7.90 eV per atom. The calculation puts the density of states at the Fermi level at 0.1965 states/eV/atom.